{"formula": "TlBi2SbO6", "functional": "PBE", "state": "optimized geometry", "raw_formation_energy_ev_per_atom": -1.194, "lattice_angstrom": [[2.958, 1.708, 5.667], [-2.958, 1.708, 5.667], [0.000, -3.416, 5.667]], "species": ["Tl", "Bi", "Bi", "Sb", "O", "O", "O", "O", "O", "O"], "frac_coords": [[0.000, 0.000, 0.000], [0.249, 0.249, 0.249], [0.781, 0.781, 0.781], [0.452, 0.452, 0.452], [0.074, 0.596, 0.464], [0.253, 0.460, 0.829], [0.460, 0.829, 0.253], [0.464, 0.074, 0.596], [0.596, 0.464, 0.074], [0.829, 0.253, 0.460]]}

---

{"formula": "TmBiSbO6", "functional": "PBE", "state": "optimized geometry", "raw_formation_energy_ev_per_atom": -1.834, "lattice_angstrom": [[5.580, 0.000, 0.000], [-2.790, 4.832, 0.000], [0.000, 0.000, 9.372]], "species": ["Tm", "Tm", "Bi", "Bi", "Sb", "Sb", "O", "O", "O", "O", "O", "O", "O", "O", "O", "O", "O", "O"], "frac_coords": [[0.333, 0.667, 0.250], [0.667, 0.333, 0.750], [0.000, 0.000, 0.000], [0.000, 0.000, 0.500], [0.333, 0.667, 0.750], [0.667, 0.333, 0.250], [0.028, 0.364, 0.633], [0.028, 0.664, 0.867], [0.336, 0.364, 0.867], [0.336, 0.972, 0.633], [0.364, 0.028, 0.133], [0.364, 0.336, 0.367], [0.636, 0.664, 0.633], [0.636, 0.972, 0.867], [0.664, 0.028, 0.367], [0.664, 0.636, 0.133], [0.972, 0.336, 0.133], [0.972, 0.636, 0.367]]}

---

{"formula": "Tm2BiSbO8", "functional": "PBE", "state": "optimized geometry", "raw_formation_energy_ev_per_atom": -2.189, "lattice_angstrom": [[3.457, -3.612, 0.000], [3.457, 3.612, 0.000], [0.000, 0.000, 6.680]], "species": ["Tm", "Tm", "Bi", "Sb", "O", "O", "O", "O", "O", "O", "O", "O"], "frac_coords": [[0.000, 0.000, 0.244], [0.000, 0.000, 0.756], [0.500, 0.500, 0.500], [0.500, 0.500, 0.000], [0.199, 0.199, 0.500], [0.213, 0.213, 0.000], [0.315, 0.685, 0.236], [0.315, 0.685, 0.764], [0.685, 0.315, 0.236], [0.685, 0.315, 0.764], [0.787, 0.787, 0.000], [0.801, 0.801, 0.500]]}